# Cs3BaV2F9 | Alexandria via LeMat-Bulk | GGA+U | optimized geometry
data_Cs3BaV2F9
_cell_length_a 6.4363
_cell_length_b 6.4363
_cell_length_c 8.0964
_cell_angle_alpha 90.00
_cell_angle_beta 90.00
_cell_angle_gamma 120.00
_symmetry_space_group_name_H-M 'P -3 m 1'
_symmetry_Int_Tables_number 164
_symmetry_space_group_name_Hall '-P 3 2"'
loop_
_atom_site_label
_atom_site_type_symbol
_atom_site_fract_x
_atom_site_fract_y
_atom_site_fract_z
Cs1 Cs 0.0000 0.0000 0.0000
Cs2 Cs 0.3333 0.6667 0.6906
Ba1 Ba 0.0000 0.0000 0.5000
V1 V 0.3333 0.6667 0.1484
F1 F 0.0000 0.5000 0.0000
F2 F 0.1809 0.3618 0.3036
# total DFT energy (no corrections)	-5.35	eV/atom
# total moment	6.0	μB/f.u.